Computed, not measured: a relaxed Ba5Si2Au2 crystal at the PBE level of DFT.

Values from the calculation:
ΔE_f (raw) in meV/atom: -490.1

a b c (Å): 8.554 8.586 9.839
angles (deg): 90.00 64.23 90.00
Fractional positions:
Ba1 0.000 0.000 0.000
Ba2 0.500 0.500 0.000
Ba3 0.464 0.174 0.724
Ba4 0.812 0.826 0.724
Ba5 0.312 0.674 0.724
Ba6 0.964 0.326 0.724
Ba7 0.536 0.826 0.276
Ba8 0.188 0.174 0.276
Ba9 0.688 0.326 0.276
Ba10 0.036 0.674 0.276
Si1 0.102 0.401 0.000
Si2 0.898 0.599 0.000
Si3 0.398 0.901 0.000
Si4 0.602 0.099 0.000
Au1 0.205 0.000 0.591
Au2 0.705 0.500 0.591
Au3 0.795 0.000 0.409
Au4 0.295 0.500 0.409